[1]
VASP calculation (GGA-PBE) on crystalline Mg3Tl3In4 at its relaxed geometry.

Values from the calculation:
Formation enthalpy at 0 K, eV per atom: 0.008

a b c (Å): 3.3102 9.0463 9.0463
angles (deg): 90.27 90.00 90.00
Sites, in units of the cell vectors:
In: 0.0000 0.1178 0.1571
In: 0.0000 0.8429 0.8822
In: 0.0000 0.6377 0.3623
In: 0.0000 0.3867 0.6133
Mg: 0.5000 0.3500 0.3167
Mg: 0.5000 0.6833 0.6500
Mg: 0.5000 0.8321 0.1679
Tl: 0.0000 0.9945 0.5103
Tl: 0.5000 0.1652 0.8348
Tl: 0.0000 0.4897 0.0055

***

[2]
VASP calculation (GGA-PBE) on crystalline ReAg2Hg at its relaxed geometry.

Values from the calculation:
Formation enthalpy at 0 K, eV per atom: 0.671

a b c (Å): 5.0700 5.0700 5.3410
angles (deg): 82.93 82.93 31.46
Sites, in units of the cell vectors:
Ag: 0.2515 0.2515 0.2345
Ag: 0.0038 0.0038 0.0046
Re: 0.7481 0.7481 0.7425
Hg: 0.4966 0.4966 0.5184

***

[3]
VASP calculation (GGA-PBE) on crystalline Li5TlAg at its relaxed geometry.

Values from the calculation:
Formation enthalpy at 0 K, eV per atom: -0.115

a b c (Å): 5.5736 5.5736 9.9784
angles (deg): 79.94 79.94 59.54
Sites, in units of the cell vectors:
Li: 0.8686 0.6591 0.6859
Li: 0.1314 0.3409 0.3141
Li: 0.5947 0.7068 0.4673
Li: 0.7068 0.5947 0.9673
Li: 0.1794 0.8206 0.2500
Li: 0.6591 0.8686 0.1859
Li: 0.4053 0.2932 0.5327
Li: 0.8206 0.1794 0.7500
Li: 0.2932 0.4053 0.0327
Li: 0.3409 0.1314 0.8141
Ag: 0.0000 0.0000 0.5000
Ag: 0.0000 0.0000 0.0000
Tl: 0.6709 0.3291 0.2500
Tl: 0.3291 0.6709 0.7500

***

[4]
VASP calculation (GGA-PBE) on crystalline Ba2BeV at its relaxed geometry.

Values from the calculation:
Formation enthalpy at 0 K, eV per atom: 1.319

a b c (Å): 4.9065 4.9065 11.5164
angles (deg): 77.70 77.70 90.00
Sites, in units of the cell vectors:
Ba: 0.3750 0.3768 0.7500
Ba: 0.6232 0.1250 0.2500
Ba: 0.1268 0.6250 0.2500
Ba: 0.8750 0.8732 0.7500
V: 0.7500 0.2500 0.5000
V: 0.0000 0.0000 0.0000
Be: 0.2500 0.7500 0.5000
Be: 0.5000 0.5000 0.0000

***

[5]
VASP calculation (GGA-PBE) on crystalline Pm2Ag2PtO6 at its relaxed geometry.

Values from the calculation:
Formation energy from raw total energies, meV per atom: -1620

a b c (Å): 6.0780 6.0780 6.2549
angles (deg): 86.98 86.98 121.27
Sites, in units of the cell vectors:
O: 0.3216 0.3216 0.3377
O: 0.7292 0.0268 0.3278
O: 0.2708 0.9732 0.6722
O: 0.9732 0.2708 0.6722
O: 0.0268 0.7292 0.3278
O: 0.6784 0.6784 0.6623
Ag: 0.1424 0.8576 0.0000
Ag: 0.8576 0.1424 0.0000
Pm: 0.3399 0.6601 0.5000
Pm: 0.6601 0.3399 0.5000
Pt: 0.0000 0.0000 0.5000

***

[6]
VASP calculation (GGA-PBE) on crystalline TaTlHg at its relaxed geometry.

Values from the calculation:
Formation enthalpy at 0 K, eV per atom: 0.702

a b c (Å): 5.9436 5.9436 5.9436
angles (deg): 150.48 140.25 50.28
Sites, in units of the cell vectors:
Ta: 0.3426 0.3426 0.0000
Tl: 0.6716 0.6716 0.0000
Hg: 0.9857 0.9857 0.0000

***

[7]
VASP calculation (GGA-PBE) on crystalline K2TaMn at its relaxed geometry.

Values from the calculation:
Formation enthalpy at 0 K, eV per atom: 1.309

a b c (Å): 6.3421 2.9658 5.3114
angles (deg): 88.30 90.00 90.00
Sites, in units of the cell vectors:
K: 0.0000 0.4898 0.4959
K: 0.0000 0.0102 0.0041
Ta: 0.5000 0.7500 0.7500
Mn: 0.5000 0.2500 0.2500

***

[8]
VASP calculation (GGA-PBE) on crystalline LaTa2PPt at its relaxed geometry.

Values from the calculation:
Formation enthalpy at 0 K, eV per atom: -0.036

a b c (Å): 4.7486 4.6500 4.7486
angles (deg): 90.00 90.00 90.00
Sites, in units of the cell vectors:
Pt: 0.0000 0.5000 0.0000
P: 0.0000 0.0000 0.0000
Ta: 0.5000 0.0000 0.0000
Ta: 0.0000 0.0000 0.5000
La: 0.5000 0.5000 0.5000

***

[9]
VASP calculation (GGA-PBE) on crystalline Li2ZrCo at its relaxed geometry.

Values from the calculation:
Formation enthalpy at 0 K, eV per atom: 0.195

a b c (Å): 3.9214 5.7489 3.2388
angles (deg): 74.37 87.94 109.33
Sites, in units of the cell vectors:
Co: 0.5000 0.5000 0.0000
Zr: 0.0000 0.5000 0.5000
Li: 0.5000 0.0000 0.5000
Li: 0.0000 0.0000 0.0000

***

[10]
VASP calculation (GGA-PBE) on crystalline HfIn2Pt2 at its relaxed geometry.

Values from the calculation:
Formation enthalpy at 0 K, eV per atom: -0.317

a b c (Å): 8.0493 8.0493 2.9499
angles (deg): 90.00 90.00 90.00
Sites, in units of the cell vectors:
Pt: 0.1696 0.6696 0.5000
Pt: 0.8304 0.3304 0.5000
Pt: 0.3304 0.1696 0.5000
Pt: 0.6696 0.8304 0.5000
Hf: 0.5000 0.5000 0.0000
Hf: 0.0000 0.0000 0.0000
In: 0.1301 0.3699 0.0000
In: 0.3699 0.8699 0.0000
In: 0.6301 0.1301 0.0000
In: 0.8699 0.6301 0.0000